[1]
DFT (PBE) results for crystalline Y7Ho4Sc at its relaxed geometry.

a = 5.9156 Å, b = 6.9112 Å, c = 11.7318 Å
α = 72.90°, β = 57.84°, γ = 89.98°
Last column: nearest neighbours and their distance in Å.
Fractional coordinates of all 12 atoms:
Y: 0.8331 0.5390 0.9205  3 Y 3.27-3.32, 3 Ho 3.62-3.66
Y: 0.1669 0.4610 0.0795  3 Y 3.27-3.32, 3 Ho 3.62-3.66
Y: 0.1270 0.1877 0.6270  5 Y 3.48-3.74, 6 Ho 3.56-3.70, 1 Sc 3.82
Y: 0.8730 0.8123 0.3730  5 Y 3.48-3.74, 6 Ho 3.56-3.70, 1 Sc 3.82
Y: 0.1648 0.7159 0.5701  5 Y 3.27-3.50, 4 Ho 3.37-3.64
Y: 0.5000 0.0000 0.0000  2 Sc 2.96
Y: 0.8352 0.2841 0.4299  5 Y 3.27-3.50, 4 Ho 3.37-3.64
Ho: 0.4955 0.5958 0.2688  1 Ho 3.18, 3 Y 3.37-3.56, 1 Sc 3.39
Ho: 0.5045 0.4042 0.7312  1 Ho 3.18, 3 Y 3.37-3.56, 1 Sc 3.39
Ho: 0.5038 0.8648 0.7313  1 Ho 3.18, 2 Y 3.37-3.53, 1 Sc 3.38
Ho: 0.4962 0.1352 0.2687  1 Ho 3.18, 2 Y 3.37-3.53, 1 Sc 3.38
Sc: 0.0000 0.0000 0.0000  2 Y 2.96

Values from the calculation:
E in eV for the cell shown: -68.2
Energy relative to the lowest polymorph listed for this composition in eV/atom: 0.000
Space-group type: P-1 (2)

[2]
DFT (PBE) results for crystalline YHo12Sc2 at its relaxed geometry.

a = 5.9607 Å, b = 5.9607 Å, c = 30.0831 Å
α = 104.16°, β = 104.16°, γ = 107.15°
Last column: nearest neighbours and their distance in Å.
Fractional coordinates of all 30 atoms:
Y: 0.5000 0.0000 0.0000  10 Ho 3.49-3.60, 2 Y 3.54
Y: 0.0000 0.5000 0.0000  10 Ho 3.49-3.60, 2 Y 3.54
Ho: 0.6560 0.6560 0.8037  8 Ho 3.41-3.56, 4 Sc 3.43
Ho: 0.1560 0.1560 0.8037  8 Ho 3.41-3.56, 4 Sc 3.43
Ho: 0.8838 0.8838 0.9336  8 Ho 3.47-3.64, 4 Y 3.49
Ho: 0.2700 0.7700 0.8688  10 Ho 3.47-3.54, 1 Sc 3.48, 1 Y 3.60
Ho: 0.0620 0.0620 0.3206  8 Ho 3.41-3.54, 4 Sc 3.44
Ho: 0.2300 0.7300 0.1312  10 Ho 3.47-3.54, 1 Sc 3.48, 1 Y 3.60
Ho: 0.8304 0.3304 0.6178  1 Sc 3.40, 10 Ho 3.43-3.54
Ho: 0.5620 0.5620 0.3206  8 Ho 3.41-3.54, 4 Sc 3.44
Ho: 0.3838 0.3838 0.9336  8 Ho 3.47-3.64, 4 Y 3.49
Ho: 0.6162 0.6162 0.0664  8 Ho 3.47-3.64, 4 Y 3.49
Ho: 0.2169 0.2169 0.5527  9 Ho 3.39-3.54
Ho: 0.6696 0.1696 0.3822  1 Sc 3.40, 10 Ho 3.43-3.54
Ho: 0.9380 0.9380 0.6794  8 Ho 3.41-3.54, 4 Sc 3.44
Ho: 0.2831 0.2831 0.4473  9 Ho 3.39-3.54
Ho: 0.1162 0.1162 0.0664  8 Ho 3.47-3.64, 4 Y 3.49
Ho: 0.7831 0.7831 0.4473  9 Ho 3.39-3.54
Ho: 0.7169 0.7169 0.5527  9 Ho 3.39-3.54
Ho: 0.8440 0.8440 0.1963  8 Ho 3.41-3.56, 4 Sc 3.43
Ho: 0.3304 0.8304 0.6178  1 Sc 3.40, 10 Ho 3.42-3.54
Ho: 0.4380 0.4380 0.6794  8 Ho 3.41-3.54, 4 Sc 3.44
Ho: 0.7700 0.2700 0.8688  10 Ho 3.47-3.54, 1 Sc 3.48, 1 Y 3.60
Ho: 0.3440 0.3440 0.1963  8 Ho 3.41-3.56, 4 Sc 3.43
Ho: 0.1696 0.6696 0.3822  1 Sc 3.40, 10 Ho 3.42-3.54
Ho: 0.7300 0.2300 0.1312  10 Ho 3.47-3.54, 1 Sc 3.48, 1 Y 3.60
Sc: 0.4525 0.9525 0.2581  10 Ho 3.40-3.48, 2 Sc 3.54
Sc: 0.9525 0.4525 0.2581  10 Ho 3.40-3.48, 2 Sc 3.54
Sc: 0.0475 0.5475 0.7419  10 Ho 3.40-3.48, 2 Sc 3.54
Sc: 0.5475 0.0475 0.7419  10 Ho 3.40-3.48, 2 Sc 3.54

Values from the calculation:
E in eV for the cell shown: -144.6
Space-group type: P2/m (10)

[3]
DFT (PBE) results for crystalline YHoSc2 at its relaxed geometry.

a = 8.6197 Å, b = 7.9948 Å, c = 6.6368 Å
α = 90.00°, β = 89.97°, γ = 90.00°
Last column: nearest neighbours and their distance in Å.
Fractional coordinates of all 16 atoms:
Y: 0.6821 0.0250 0.6246  6 Sc 3.21-3.40, 3 Ho 3.32-3.57, 1 Y 3.57
Y: 0.1821 0.4750 0.6246  6 Sc 3.21-3.40, 3 Ho 3.32-3.57, 1 Y 3.57
Y: 0.3179 0.9750 0.3754  6 Sc 3.21-3.40, 3 Ho 3.32-3.57, 1 Y 3.57
Y: 0.8179 0.5250 0.3754  6 Sc 3.21-3.40, 3 Ho 3.32-3.57, 1 Y 3.57
Ho: 0.1813 0.4697 0.1246  6 Sc 3.23-3.36, 3 Y 3.32-3.57, 1 Ho 3.57
Ho: 0.3187 0.9697 0.8754  6 Sc 3.23-3.36, 3 Y 3.32-3.57, 1 Ho 3.57
Ho: 0.6813 0.0303 0.1246  6 Sc 3.23-3.36, 3 Y 3.32-3.57, 1 Ho 3.57
Ho: 0.8187 0.5303 0.8754  6 Sc 3.23-3.36, 3 Y 3.32-3.57, 1 Ho 3.57
Sc: 0.5085 0.6678 0.1257  4 Sc 3.15-3.32, 4 Ho 3.23-3.36, 2 Y 3.34-3.39
Sc: 0.0085 0.8322 0.1257  4 Sc 3.15-3.32, 4 Ho 3.23-3.36, 2 Y 3.34-3.39
Sc: 0.9908 0.1670 0.3749  4 Sc 3.15-3.32, 4 Y 3.21-3.40, 2 Ho 3.33-3.36
Sc: 0.9915 0.1678 0.8743  4 Sc 3.15-3.32, 4 Ho 3.23-3.36, 2 Y 3.34-3.39
Sc: 0.0092 0.8330 0.6251  4 Sc 3.15-3.32, 4 Y 3.21-3.40, 2 Ho 3.33-3.36
Sc: 0.5092 0.6670 0.6251  4 Sc 3.15-3.32, 4 Y 3.21-3.40, 2 Ho 3.33-3.36
Sc: 0.4915 0.3322 0.8743  4 Sc 3.15-3.32, 4 Ho 3.23-3.36, 2 Y 3.34-3.39
Sc: 0.4908 0.3330 0.3749  4 Sc 3.15-3.32, 4 Y 3.21-3.40, 2 Ho 3.33-3.36

Values from the calculation:
E in eV for the cell shown: -91.9
Energy relative to the lowest polymorph listed for this composition in eV/atom: 0.128
Space-group type: P2_1/c (14)

[4]
DFT (PBE) results for crystalline YHo12Sc7 at its relaxed geometry.

a = 9.0169 Å, b = 9.0169 Å, c = 9.0169 Å
α = 108.36°, β = 108.36°, γ = 108.36°
Last column: nearest neighbours and their distance in Å.
Fractional coordinates of all 20 atoms:
Y: 0.0000 0.0000 0.0000  6 Sc 3.28, 6 Ho 3.52
Ho: 0.8005 0.3257 0.6176  3 Sc 3.17-3.38, 3 Ho 3.24-3.52
Ho: 0.6743 0.3824 0.1995  3 Sc 3.17-3.38, 3 Ho 3.24-3.52
Ho: 0.4072 0.0666 0.2966  4 Sc 3.18-3.53, 3 Ho 3.24-3.52, 1 Y 3.52
Ho: 0.9334 0.7034 0.5928  4 Sc 3.18-3.53, 3 Ho 3.24-3.52, 1 Y 3.52
Ho: 0.3824 0.1995 0.6743  3 Sc 3.17-3.38, 3 Ho 3.24-3.52
Ho: 0.7034 0.5928 0.9334  4 Sc 3.18-3.53, 3 Ho 3.24-3.52, 1 Y 3.52
Ho: 0.2966 0.4072 0.0666  4 Sc 3.18-3.53, 3 Ho 3.24-3.52, 1 Y 3.52
Ho: 0.6176 0.8005 0.3257  3 Sc 3.17-3.38, 3 Ho 3.24-3.52
Ho: 0.0666 0.2966 0.4072  4 Sc 3.18-3.53, 3 Ho 3.24-3.52, 1 Y 3.52
Ho: 0.5928 0.9334 0.7034  4 Sc 3.18-3.53, 3 Ho 3.24-3.52, 1 Y 3.52
Ho: 0.3257 0.6176 0.8005  3 Sc 3.17-3.38, 3 Ho 3.24-3.52
Ho: 0.1995 0.6743 0.3824  3 Sc 3.17-3.38, 3 Ho 3.24-3.52
Sc: 0.1056 0.6841 0.0046  6 Ho 3.17-3.53, 3 Sc 3.22-3.47, 1 Y 3.28
Sc: 0.3159 0.9954 0.8944  6 Ho 3.17-3.53, 3 Sc 3.22-3.47, 1 Y 3.28
Sc: 0.9954 0.8944 0.3159  6 Ho 3.17-3.53, 3 Sc 3.22-3.47, 1 Y 3.28
Sc: 0.5000 0.5000 0.5000  12 Ho 3.43-3.59
Sc: 0.0046 0.1056 0.6841  6 Ho 3.17-3.53, 3 Sc 3.22-3.47, 1 Y 3.28
Sc: 0.6841 0.0046 0.1056  6 Ho 3.17-3.53, 3 Sc 3.22-3.47, 1 Y 3.28
Sc: 0.8944 0.3159 0.9954  6 Ho 3.17-3.53, 3 Sc 3.22-3.47, 1 Y 3.28

Values from the calculation:
E in eV for the cell shown: -102.2
Energy relative to the lowest polymorph listed for this composition in eV/atom: 0.000
Space-group type: R-3 (148)

[5]
DFT (PBE) results for crystalline Y3Ho3Sc at its relaxed geometry.

a = 6.1428 Å, b = 6.1428 Å, c = 14.2068 Å
α = 77.51°, β = 77.51°, γ = 60.00°
Last column: nearest neighbours and their distance in Å.
Fractional coordinates of all 14 atoms:
Y: 0.9366 0.2707 0.1905  2 Sc 3.32-3.33, 3 Ho 3.50-3.51, 6 Y 3.54-3.56
Y: 0.6022 0.9366 0.1905  2 Sc 3.32-3.33, 3 Ho 3.50-3.51, 6 Y 3.54-3.56
Y: 0.2707 0.6022 0.1905  2 Sc 3.32-3.33, 3 Ho 3.50-3.51, 6 Y 3.54-3.56
Y: 0.7293 0.3978 0.8095  2 Sc 3.32-3.33, 3 Ho 3.50-3.51, 6 Y 3.54-3.56
Y: 0.3978 0.0634 0.8095  2 Sc 3.32-3.33, 3 Ho 3.50-3.51, 6 Y 3.54-3.56
Y: 0.0634 0.7293 0.8095  2 Sc 3.32-3.33, 3 Ho 3.50-3.51, 6 Y 3.54-3.56
Ho: 0.1990 0.8674 0.3971  9 Ho 3.49-3.56, 3 Y 3.50-3.51
Ho: 0.5365 0.1990 0.3971  9 Ho 3.49-3.56, 3 Y 3.50-3.51
Ho: 0.8674 0.5365 0.3971  9 Ho 3.49-3.56, 3 Y 3.50-3.51
Ho: 0.1326 0.4635 0.6029  9 Ho 3.49-3.56, 3 Y 3.50-3.51
Ho: 0.4635 0.8010 0.6029  9 Ho 3.49-3.56, 3 Y 3.50-3.51
Ho: 0.8010 0.1326 0.6029  9 Ho 3.49-3.56, 3 Y 3.50-3.51
Sc: 0.6667 0.6667 0.0000  6 Y 3.32-3.33, 3 Sc 3.55
Sc: 0.3333 0.3333 0.0000  6 Y 3.32-3.33, 3 Sc 3.55

Values from the calculation:
E in eV for the cell shown: -76.7
Energy relative to the lowest polymorph listed for this composition in eV/atom: 0.143
Space-group type: R-3 (148)

[6]
DFT (PBE) results for crystalline Y3HoSc7 at its relaxed geometry.

a = 5.4479 Å, b = 7.9929 Å, c = 7.9929 Å
α = 81.56°, β = 109.93°, γ = 109.93°
Last column: nearest neighbours and their distance in Å.
Fractional coordinates of all 11 atoms:
Y: 0.0000 0.7889 0.2111  5 Sc 3.02-3.23
Y: 0.5000 0.0000 0.0000  4 Sc 3.08
Y: 0.0000 0.2111 0.7889  5 Sc 3.02-3.23
Ho: 0.5000 0.5000 0.5000  2 Sc 2.72
Sc: 0.2101 0.2098 0.2098  1 Ho 3.14, 2 Y 3.16, 6 Sc 3.32-3.38
Sc: 0.2838 0.9756 0.5923  5 Sc 3.07-3.38, 2 Y 3.08-3.23
Sc: 0.7162 0.4077 0.0244  5 Sc 3.07-3.38, 2 Y 3.08-3.23
Sc: 0.2838 0.5923 0.9756  5 Sc 3.07-3.38, 2 Y 3.08-3.23
Sc: 0.0000 0.5000 0.5000  2 Ho 2.72, 2 Y 3.02
Sc: 0.7162 0.0244 0.4077  5 Sc 3.07-3.38, 2 Y 3.08-3.23
Sc: 0.7899 0.7902 0.7902  1 Ho 3.14, 2 Y 3.16, 6 Sc 3.32-3.38

Values from the calculation:
E in eV for the cell shown: -64.9
Space-group type: Immm (71)

[7]
DFT (PBE) results for crystalline Y5HoSc4 at its relaxed geometry.

a = 7.6563 Å, b = 8.7962 Å, c = 8.8055 Å
α = 90.00°, β = 90.00°, γ = 90.00°
Last column: nearest neighbours and their distance in Å.
Fractional coordinates of all 20 atoms:
Y: 0.2013 0.8086 0.8087  4 Sc 3.17-3.49, 5 Y 3.37-3.55, 1 Ho 3.44
Y: 0.2013 0.1914 0.8087  4 Sc 3.17-3.49, 5 Y 3.37-3.55, 1 Ho 3.44
Y: 0.0005 0.5000 0.0000  8 Y 3.55, 4 Sc 3.74-3.75
Y: 0.2013 0.8086 0.1913  4 Sc 3.17-3.49, 5 Y 3.37-3.55, 1 Ho 3.44
Y: 0.2013 0.1914 0.1913  4 Sc 3.17-3.49, 5 Y 3.37-3.55, 1 Ho 3.44
Y: 0.7987 0.6914 0.3087  4 Sc 3.17-3.49, 5 Y 3.37-3.55, 1 Ho 3.44
Y: 0.7987 0.3086 0.3087  4 Sc 3.17-3.49, 5 Y 3.37-3.55, 1 Ho 3.44
Y: 0.9995 0.0000 0.5000  8 Y 3.55, 4 Sc 3.74-3.75
Y: 0.7987 0.3086 0.6913  4 Sc 3.17-3.49, 5 Y 3.37-3.55, 1 Ho 3.44
Y: 0.7987 0.6914 0.6913  4 Sc 3.17-3.49, 5 Y 3.37-3.55, 1 Ho 3.44
Ho: 0.8764 0.0000 0.0000  4 Sc 3.23-3.25, 4 Y 3.44
Ho: 0.1236 0.5000 0.5000  4 Sc 3.23-3.25, 4 Y 3.44
Sc: 0.5884 0.0000 0.7313  4 Sc 3.17-3.36, 4 Y 3.18-3.48, 1 Ho 3.23
Sc: 0.5890 0.7282 0.0000  4 Sc 3.17-3.36, 4 Y 3.17-3.49, 1 Ho 3.25
Sc: 0.5890 0.2718 0.0000  4 Sc 3.17-3.36, 4 Y 3.17-3.49, 1 Ho 3.25
Sc: 0.5884 0.0000 0.2687  4 Sc 3.17-3.36, 4 Y 3.18-3.48, 1 Ho 3.23
Sc: 0.4116 0.5000 0.2313  4 Sc 3.17-3.36, 4 Y 3.18-3.48, 1 Ho 3.23
Sc: 0.4110 0.7718 0.5000  4 Sc 3.17-3.36, 4 Y 3.17-3.49, 1 Ho 3.25
Sc: 0.4110 0.2282 0.5000  4 Sc 3.17-3.36, 4 Y 3.17-3.49, 1 Ho 3.25
Sc: 0.4116 0.5000 0.7687  4 Sc 3.17-3.36, 4 Y 3.18-3.48, 1 Ho 3.23

Values from the calculation:
E in eV for the cell shown: -121.3
Energy relative to the lowest polymorph listed for this composition in eV/atom: 0.100
Space-group type: Pmmn (59)

[8]
DFT (PBE) results for crystalline Y4Ho4Sc3 at its relaxed geometry.

a = 3.4178 Å, b = 5.4806 Å, c = 17.6562 Å
α = 81.04°, β = 84.44°, γ = 90.00°
Last column: nearest neighbours and their distance in Å.
Fractional coordinates of all 11 atoms:
Y: 0.5893 0.0900 0.8219  3 Ho 3.10-3.13, 2 Y 3.42
Y: 0.2689 0.2687 0.4626  4 Ho 3.30-3.57, 6 Y 3.42-3.48
Y: 0.7311 0.7314 0.5374  4 Ho 3.30-3.57, 6 Y 3.42-3.48
Y: 0.4107 0.9100 0.1781  3 Ho 3.10-3.13, 2 Y 3.42
Ho: 0.5459 0.5462 0.9092  2 Y 3.13, 3 Ho 3.15-3.42
Ho: 0.4541 0.4539 0.0908  2 Y 3.13, 3 Ho 3.15-3.42
Ho: 0.3210 0.8216 0.3568  3 Y 3.10-3.30, 2 Ho 3.42
Ho: 0.6791 0.1784 0.6432  3 Y 3.10-3.30, 2 Ho 3.42
Sc: 0.1356 0.6357 0.7295  2 Sc 3.42, 6 Ho 3.56, 6 Y 3.60-3.75
Sc: 0.8644 0.3643 0.2705  2 Sc 3.42, 6 Ho 3.56, 6 Y 3.60-3.75
Sc: 0.0000 0.0000 0.0000  2 Sc 3.42, 4 Y 3.53, 8 Ho 3.59-3.60

Values from the calculation:
E in eV for the cell shown: -62.0
Space-group type: P-1 (2)

[9]
DFT (PBE) results for crystalline Y2Ho2Sc at its relaxed geometry.

a = 5.5509 Å, b = 6.6023 Å, c = 10.0050 Å
α = 98.92°, β = 73.89°, γ = 65.14°
Last column: nearest neighbours and their distance in Å.
Fractional coordinates of all 10 atoms:
Y: 0.7040 0.2478 0.3442  2 Sc 3.45, 3 Y 3.53-3.74, 9 Ho 3.58-3.83
Y: 0.2960 0.7522 0.6558  2 Sc 3.45, 3 Y 3.53-3.74, 9 Ho 3.58-3.83
Y: 0.1215 0.7192 0.0377  3 Sc 3.27-3.35, 4 Ho 3.50-3.65, 2 Y 3.59-3.66
Y: 0.8785 0.2808 0.9623  3 Sc 3.27-3.35, 4 Ho 3.50-3.65, 2 Y 3.59-3.66
Ho: 0.0478 0.3148 0.5897  4 Ho 3.21-3.57, 1 Sc 3.24, 2 Y 3.58
Ho: 0.9522 0.6852 0.4103  4 Ho 3.21-3.57, 1 Sc 3.24, 2 Y 3.58
Ho: 0.5414 0.1876 0.7297  1 Sc 3.16, 2 Ho 3.28, 2 Y 3.50
Ho: 0.4586 0.8124 0.2703  1 Sc 3.16, 2 Ho 3.28, 2 Y 3.50
Sc: 0.3274 0.2196 0.1257  1 Sc 2.97, 2 Ho 3.16-3.24, 2 Y 3.27
Sc: 0.6726 0.7804 0.8743  1 Sc 2.97, 2 Ho 3.16-3.24, 2 Y 3.27

Values from the calculation:
E in eV for the cell shown: -56.0
Energy relative to the lowest polymorph listed for this composition in eV/atom: 0.000
Space-group type: C2/m (12)

[10]
DFT (PBE) results for crystalline Y3Ho6Sc2 at its relaxed geometry.

a = 5.5265 Å, b = 5.5265 Å, c = 12.9815 Å
α = 77.71°, β = 77.71°, γ = 60.00°
Last column: nearest neighbours and their distance in Å.
Fractional coordinates of all 11 atoms:
Y: 0.0000 0.0000 0.0000  8 Ho 3.54-3.60, 6 Y 3.72
Y: 0.7171 0.7171 0.8488  4 Ho 3.20-3.57
Y: 0.2829 0.2829 0.1512  4 Ho 3.20-3.57
Ho: 0.9063 0.9063 0.2810  3 Sc 3.44, 4 Y 3.54-3.58, 7 Ho 3.55-3.75
Ho: 0.0937 0.0937 0.7190  3 Sc 3.44, 4 Y 3.54-3.58, 7 Ho 3.55-3.75
Ho: 0.8123 0.8123 0.5630  3 Sc 3.26, 4 Ho 3.55-3.56, 1 Y 3.60
Ho: 0.1877 0.1877 0.4370  3 Sc 3.26, 4 Ho 3.55-3.56, 1 Y 3.60
Ho: 0.6226 0.6226 0.1322  1 Sc 3.17, 3 Y 3.20
Ho: 0.3774 0.3774 0.8678  1 Sc 3.17, 3 Y 3.20
Sc: 0.5386 0.5386 0.3842  1 Sc 2.91, 4 Ho 3.17-3.26
Sc: 0.4614 0.4614 0.6158  1 Sc 2.91, 4 Ho 3.17-3.26

Values from the calculation:
E in eV for the cell shown: -58.5
Energy relative to the lowest polymorph listed for this composition in eV/atom: 0.000
Space-group type: R-3m (166)